First-principles (PBE) data for crystalline Sc4Cd3Fe at its relaxed geometry, as listed in Alexandria via LeMat-Bulk.

abc: 3.2243 3.2243 15.5807
angles: 90.00 90.00 90.00
Space group P4/mmm (No. 123)
One atom of each set of equivalent atoms:
Sc: 0.0000 0.0000 0.0948
Sc: 0.0000 0.0000 0.3645
Cd: 0.5000 0.5000 0.2320
Cd: 0.5000 0.5000 0.5000
Fe: 0.5000 0.5000 0.0000

Summary:
Energy: -0.355 Ry/atom
Crystal system: tetragonal

=====

First-principles (PBE) data for crystalline Y3Ho2 at its relaxed geometry, as listed in Alexandria via LeMat-Bulk.

abc: 11.8560 6.2847 9.1922
angles: 90.00 110.00 90.00
Space group C2/c (No. 15)
One atom of each set of equivalent atoms:
Y: 0.0000 0.1687 0.2500
Y: 0.1989 0.1658 0.6498
Ho: 0.1004 0.3345 0.9501

Summary:
Energy: -0.419 Ry/atom
Crystal system: monoclinic

=====

First-principles (PBE) data for crystalline Er8ZnGa3Te4 at its relaxed geometry, as listed in Alexandria via LeMat-Bulk.

abc: 8.1130 8.1130 22.5716
angles: 90.00 90.00 120.00
Space group R-3m (No. 166, hexagonal axes)
One atom of each set of equivalent atoms:
Er: 0.0000 0.0000 0.2443
Er: 0.0008 0.5004 0.7550
Zn: 0.0000 0.0000 0.5000
Ga: 0.0000 0.5000 0.5000
Te: 0.0000 0.0000 0.0000
Te: 0.0000 0.5000 0.0000

Summary:
Raw formation energy: -13.7 eV per formula unit
Crystal system: trigonal

=====

First-principles (PBE) data for crystalline GdScTi4 at its relaxed geometry, as listed in Alexandria via LeMat-Bulk.

abc: 8.0674 8.0674 8.0674
angles: 90.00 90.00 90.00
Space group F-43m (No. 216)
One atom of each set of equivalent atoms:
Gd: 0.0000 0.0000 0.0000
Sc: 0.2500 0.2500 0.7500
Ti: 0.1235 0.1235 0.3765

Summary:
Energy: -0.620 Ry/atom
Crystal system: cubic

=====

First-principles (PBE) data for crystalline In2Co2Re at its relaxed geometry, as listed in Alexandria via LeMat-Bulk.

abc: 6.2465 6.2465 4.0744
angles: 90.00 90.00 90.00
Space group P4/mbm (No. 127)
One atom of each set of equivalent atoms:
In: 0.1756 0.3244 0.0000
Co: 0.1320 0.6320 0.5000
Re: 0.0000 0.0000 0.5000

Summary:
Energy: -0.444 Ry/atom
Crystal system: tetragonal

=====

First-principles (PBE) data for crystalline Hf5VTc6 at its relaxed geometry, as listed in Alexandria via LeMat-Bulk.

abc: 4.5709 6.4539 13.6767
angles: 90.00 90.00 90.00
Space group Immm (No. 71)
One atom of each set of equivalent atoms:
Hf: 0.0000 0.0000 0.0000
Hf: 0.0000 0.0000 0.3344
Hf: 0.0000 0.5000 0.3335
V: 0.0000 0.5000 0.0000
Tc: 0.0000 0.2398 0.5000
Tc: 0.0000 0.2549 0.1622

Summary:
Energy: -0.773 Ry/atom
Crystal system: orthorhombic